Computed, not measured: In12Ga2Hg5 after structural relaxation at the PBE-GGA level of DFT.

Unit cell a=16.0638 b=10.9402 c=5.7437 alpha=90.00 beta=99.17 gamma=90.00
Closest atoms and distances in Å follow each position.
Space group C2/m (No. 12)
Unique sites:
In 0.0524 0.0000 0.2650  2 Ga 3.18, 6 In 3.24-3.51, 2 Hg 3.49-3.55
In 0.0983 0.2440 0.6163  1 Ga 2.91, 2 In 3.07-3.23, 2 Hg 3.14-3.23
In 0.1035 0.5000 0.0553  2 Ga 3.19, 5 Hg 3.26-3.42, 3 In 3.27-3.29
In 0.1939 0.2362 0.1948  5 In 3.07-3.43, 2 Hg 3.12-3.31, 1 Ga 3.14
Ga 0.0000 0.2499 0.0000  8 In 2.91-3.19
Hg 0.0000 0.5000 0.5000  8 In 3.23-3.35, 2 Hg 3.34
Hg 0.1807 0.0000 0.8293  6 In 3.14-3.49, 2 Hg 3.29-3.42
Hg 0.2104 0.5000 0.6085  6 In 3.12-3.36, 3 Hg 3.29-3.42

Properties
E above lowest polymorph ... 0.0 meV/atom
DFT formation energy ... 0.02 eV per atom
Total magnetic moment ... 0.0 μB/f.u.
Uncorrected energy ... -2.1035 eV/atom